# 1
Material: TmPuHgPb
Method: DFT, PBE-GGA
State: optimized geometry

Cell and atoms, written as CIF:
```
data_TmPuHgPb
_cell_length_a 5.344
_cell_length_b 5.344
_cell_length_c 5.344
_cell_angle_alpha 60.00
_cell_angle_beta 60.00
_cell_angle_gamma 60.00
_space_group_name_H-M_alt 'P 1'
_space_group_IT_number 1
loop_
_space_group_symop_operation_xyz
'x,y,z'
loop_
_atom_site_label
_atom_site_type_symbol
_atom_site_fract_x
_atom_site_fract_y
_atom_site_fract_z
_atom_site_occupancy
Tm1 Tm 0.000 0.000 0.000 1
Pu1 Pu 0.500 0.500 0.500 1
Hg1 Hg 0.250 0.250 0.250 1
Pb1 Pb 0.750 0.750 0.750 1
```

* space-group type: F-43m, No. 216
* formation enthalpy at 0 K: -0.264 eV/atom
* raw total energy: -5.967 eV per atom
* magnetic moment: 6.7 μB per formula unit

# 2
Material: SiGeBr2
Method: DFT, PBE-GGA
State: optimized geometry

Cell and atoms, written as CIF:
```
data_SiGeBr2
_cell_length_a 9.719
_cell_length_b 9.719
_cell_length_c 9.719
_cell_angle_alpha 20.94
_cell_angle_beta 20.94
_cell_angle_gamma 20.94
_space_group_name_H-M_alt 'P 1'
_space_group_IT_number 1
loop_
_space_group_symop_operation_xyz
'x,y,z'
loop_
_atom_site_label
_atom_site_type_symbol
_atom_site_fract_x
_atom_site_fract_y
_atom_site_fract_z
_atom_site_occupancy
Si1 Si 0.000 0.000 0.000 1
Ge1 Ge 0.500 0.500 0.500 1
Br1 Br 0.403 0.403 0.403 1
Br2 Br 0.597 0.597 0.597 1
```

* space-group type: R-3m, No. 166
* raw total energy: -3.065 eV per atom
* magnetic moment: 0.0 μB per formula unit
* energy above the most stable polymorph in this dataset: 7.1 meV/atom

# 3
Material: Li9Bi11Pd4
Method: DFT, PBE-GGA
State: optimized geometry

Cell and atoms, written as CIF:
```
data_Li9Bi11Pd4
_cell_length_a 11.946
_cell_length_b 11.946
_cell_length_c 4.182
_cell_angle_alpha 90.00
_cell_angle_beta 90.00
_cell_angle_gamma 112.89
_space_group_name_H-M_alt 'P 1'
_space_group_IT_number 1
loop_
_space_group_symop_operation_xyz
'x,y,z'
loop_
_atom_site_label
_atom_site_type_symbol
_atom_site_fract_x
_atom_site_fract_y
_atom_site_fract_z
_atom_site_occupancy
Li1 Li 0.000 0.000 0.000 1
Li2 Li 0.122 0.651 0.000 1
Li3 Li 0.293 0.458 0.000 1
Li4 Li 0.349 0.878 0.000 1
Li5 Li 0.458 0.293 0.000 1
Li6 Li 0.542 0.707 0.000 1
Li7 Li 0.651 0.122 0.000 1
Li8 Li 0.707 0.542 0.000 1
Li9 Li 0.878 0.349 0.000 1
Bi1 Bi 0.087 0.423 0.500 1
Bi2 Bi 0.129 0.871 0.500 1
Bi3 Bi 0.213 0.213 0.500 1
Bi4 Bi 0.326 0.674 0.500 1
Bi5 Bi 0.423 0.087 0.500 1
Bi6 Bi 0.500 0.500 0.500 1
Bi7 Bi 0.577 0.913 0.500 1
Bi8 Bi 0.674 0.326 0.500 1
Bi9 Bi 0.787 0.787 0.500 1
Bi10 Bi 0.871 0.129 0.500 1
Bi11 Bi 0.913 0.577 0.500 1
Pd1 Pd 0.059 0.250 0.000 1
Pd2 Pd 0.250 0.059 0.000 1
Pd3 Pd 0.750 0.941 0.000 1
Pd4 Pd 0.941 0.750 0.000 1
```

* space-group type: Cmmm, No. 65
* formation enthalpy at 0 K: -0.372 eV/atom
* raw total energy: -3.734 eV per atom
* magnetic moment: 0.0 μB per formula unit

# 4
Material: Tb2PrCd2Hg2
Method: DFT, PBE-GGA
State: optimized geometry

Cell and atoms, written as CIF:
```
data_Tb2PrCd2Hg2
_cell_length_a 9.386
_cell_length_b 9.386
_cell_length_c 9.386
_cell_angle_alpha 30.76
_cell_angle_beta 30.76
_cell_angle_gamma 30.76
_space_group_name_H-M_alt 'P 1'
_space_group_IT_number 1
loop_
_space_group_symop_operation_xyz
'x,y,z'
loop_
_atom_site_label
_atom_site_type_symbol
_atom_site_fract_x
_atom_site_fract_y
_atom_site_fract_z
_atom_site_occupancy
Tb1 Tb 0.126 0.126 0.126 1
Tb2 Tb 0.874 0.874 0.874 1
Pr1 Pr 0.000 0.000 0.000 1
Cd1 Cd 0.256 0.256 0.256 1
Cd2 Cd 0.744 0.744 0.744 1
Hg1 Hg 0.403 0.403 0.403 1
Hg2 Hg 0.597 0.597 0.597 1
```

* space-group type: R-3m, No. 166
* formation enthalpy at 0 K: -0.264 eV/atom
* raw total energy: -2.617 eV per atom
* magnetic moment: 0.0 μB per formula unit

# 5
Material: CeDy3Y7
Method: DFT, PBE-GGA
State: optimized geometry

Cell and atoms, written as CIF:
```
data_CeDy3Y7
_cell_length_a 9.922
_cell_length_b 9.922
_cell_length_c 6.570
_cell_angle_alpha 100.52
_cell_angle_beta 100.52
_cell_angle_gamma 139.29
_space_group_name_H-M_alt 'P 1'
_space_group_IT_number 1
loop_
_space_group_symop_operation_xyz
'x,y,z'
loop_
_atom_site_label
_atom_site_type_symbol
_atom_site_fract_x
_atom_site_fract_y
_atom_site_fract_z
_atom_site_occupancy
Ce1 Ce 0.000 0.000 0.000 1
Dy1 Dy 0.000 0.500 0.500 1
Dy2 Dy 0.500 0.000 0.500 1
Dy3 Dy 0.500 0.500 0.000 1
Y1 Y 0.088 0.912 0.500 1
Y2 Y 0.120 0.442 0.065 1
Y3 Y 0.442 0.120 0.065 1
Y4 Y 0.500 0.500 0.500 1
Y5 Y 0.558 0.880 0.935 1
Y6 Y 0.880 0.558 0.935 1
Y7 Y 0.912 0.088 0.500 1
```

* space-group type: C2/m, No. 12
* formation enthalpy at 0 K: 0.161 eV/atom
* raw total energy: -5.747 eV per atom
* magnetic moment: 1.9 μB per formula unit

# 6
Material: LiRu2Pt2
Method: DFT, PBE-GGA
State: optimized geometry

Cell and atoms, written as CIF:
```
data_LiRu2Pt2
_cell_length_a 7.723
_cell_length_b 7.723
_cell_length_c 2.705
_cell_angle_alpha 90.00
_cell_angle_beta 90.00
_cell_angle_gamma 90.00
_space_group_name_H-M_alt 'P 1'
_space_group_IT_number 1
loop_
_space_group_symop_operation_xyz
'x,y,z'
loop_
_atom_site_label
_atom_site_type_symbol
_atom_site_fract_x
_atom_site_fract_y
_atom_site_fract_z
_atom_site_occupancy
Li1 Li 0.000 0.000 0.000 1
Li2 Li 0.500 0.500 0.000 1
Ru1 Ru 0.115 0.385 0.000 1
Ru2 Ru 0.385 0.885 0.000 1
Ru3 Ru 0.615 0.115 0.000 1
Ru4 Ru 0.885 0.615 0.000 1
Pt1 Pt 0.183 0.683 0.500 1
Pt2 Pt 0.317 0.183 0.500 1
Pt3 Pt 0.683 0.817 0.500 1
Pt4 Pt 0.817 0.317 0.500 1
```

* space-group type: P4/mbm, No. 127
* formation enthalpy at 0 K: 0.057 eV/atom
* raw total energy: -6.453 eV per atom
* magnetic moment: 0.0 μB per formula unit
* energy above the most stable polymorph in this dataset: 0.0 meV/atom

# 7
Material: U5Nb3Co12
Method: DFT, PBE-GGA
State: optimized geometry

Cell and atoms, written as CIF:
```
data_U5Nb3Co12
_cell_length_a 12.176
_cell_length_b 12.176
_cell_length_c 12.176
_cell_angle_alpha 109.47
_cell_angle_beta 109.47
_cell_angle_gamma 109.47
_space_group_name_H-M_alt 'P 1'
_space_group_IT_number 1
loop_
_space_group_symop_operation_xyz
'x,y,z'
loop_
_atom_site_label
_atom_site_type_symbol
_atom_site_fract_x
_atom_site_fract_y
_atom_site_fract_z
_atom_site_occupancy
U1 U 0.000 0.000 0.000 1
U2 U 0.000 0.000 0.500 1
U3 U 0.000 0.500 0.000 1
U4 U 0.000 0.500 0.500 1
U5 U 0.125 0.750 0.875 1
U6 U 0.125 0.875 0.250 1
U7 U 0.250 0.125 0.875 1
U8 U 0.250 0.625 0.375 1
U9 U 0.375 0.250 0.625 1
U10 U 0.375 0.625 0.750 1
U11 U 0.500 0.000 0.000 1
U12 U 0.500 0.000 0.500 1
U13 U 0.500 0.500 0.000 1
U14 U 0.500 0.500 0.500 1
U15 U 0.625 0.375 0.250 1
U16 U 0.625 0.750 0.375 1
U17 U 0.750 0.375 0.625 1
U18 U 0.750 0.875 0.125 1
U19 U 0.875 0.125 0.750 1
U20 U 0.875 0.250 0.125 1
Nb1 Nb 0.125 0.250 0.375 1
Nb2 Nb 0.125 0.375 0.750 1
Nb3 Nb 0.250 0.375 0.125 1
Nb4 Nb 0.250 0.875 0.625 1
Nb5 Nb 0.375 0.125 0.250 1
Nb6 Nb 0.375 0.750 0.125 1
Nb7 Nb 0.625 0.250 0.875 1
Nb8 Nb 0.625 0.875 0.750 1
Nb9 Nb 0.750 0.125 0.375 1
Nb10 Nb 0.750 0.625 0.875 1
Nb11 Nb 0.875 0.625 0.250 1
Nb12 Nb 0.875 0.750 0.625 1
Co1 Co 0.063 0.236 0.136 1
Co2 Co 0.063 0.327 0.927 1
Co3 Co 0.073 0.636 0.400 1
Co4 Co 0.073 0.937 0.673 1
Co5 Co 0.100 0.736 0.673 1
Co6 Co 0.100 0.864 0.427 1
Co7 Co 0.136 0.063 0.236 1
Co8 Co 0.136 0.573 0.900 1
Co9 Co 0.173 0.236 0.600 1
Co10 Co 0.173 0.437 0.573 1
Co11 Co 0.236 0.136 0.063 1
Co12 Co 0.236 0.600 0.173 1
Co13 Co 0.264 0.327 0.900 1
Co14 Co 0.264 0.437 0.364 1
Co15 Co 0.327 0.900 0.264 1
Co16 Co 0.327 0.927 0.063 1
Co17 Co 0.364 0.264 0.437 1
Co18 Co 0.364 0.600 0.927 1
Co19 Co 0.400 0.073 0.636 1
Co20 Co 0.400 0.827 0.764 1
Co21 Co 0.427 0.100 0.864 1
Co22 Co 0.427 0.827 0.563 1
Co23 Co 0.437 0.364 0.264 1
Co24 Co 0.437 0.573 0.173 1
Co25 Co 0.563 0.427 0.827 1
Co26 Co 0.563 0.636 0.736 1
Co27 Co 0.573 0.173 0.437 1
Co28 Co 0.573 0.900 0.136 1
Co29 Co 0.600 0.173 0.236 1
Co30 Co 0.600 0.927 0.364 1
Co31 Co 0.636 0.400 0.073 1
Co32 Co 0.636 0.736 0.563 1
Co33 Co 0.673 0.073 0.937 1
Co34 Co 0.673 0.100 0.736 1
Co35 Co 0.736 0.563 0.636 1
Co36 Co 0.736 0.673 0.100 1
Co37 Co 0.764 0.400 0.827 1
Co38 Co 0.764 0.864 0.937 1
Co39 Co 0.827 0.563 0.427 1
Co40 Co 0.827 0.764 0.400 1
Co41 Co 0.864 0.427 0.100 1
Co42 Co 0.864 0.937 0.764 1
Co43 Co 0.900 0.136 0.573 1
Co44 Co 0.900 0.264 0.327 1
Co45 Co 0.927 0.063 0.327 1
Co46 Co 0.927 0.364 0.600 1
Co47 Co 0.937 0.673 0.073 1
Co48 Co 0.937 0.764 0.864 1
```

* space-group type: Ia-3d, No. 230
* formation enthalpy at 0 K: 0.424 eV/atom
* raw total energy: -8.172 eV per atom
* magnetic moment: 0.0 μB per formula unit

# 8
Material: Pa3Be2Ir5
Method: DFT, PBE-GGA
State: optimized geometry

Cell and atoms, written as CIF:
```
data_Pa3Be2Ir5
_cell_length_a 9.613
_cell_length_b 9.613
_cell_length_c 3.693
_cell_angle_alpha 90.00
_cell_angle_beta 90.00
_cell_angle_gamma 90.00
_space_group_name_H-M_alt 'P 1'
_space_group_IT_number 1
loop_
_space_group_symop_operation_xyz
'x,y,z'
loop_
_atom_site_label
_atom_site_type_symbol
_atom_site_fract_x
_atom_site_fract_y
_atom_site_fract_z
_atom_site_occupancy
Pa1 Pa 0.000 0.000 0.000 1
Pa2 Pa 0.175 0.325 0.000 1
Pa3 Pa 0.325 0.825 0.000 1
Pa4 Pa 0.500 0.500 0.000 1
Pa5 Pa 0.675 0.175 0.000 1
Pa6 Pa 0.825 0.675 0.000 1
Be1 Be 0.118 0.618 0.000 1
Be2 Be 0.382 0.118 0.000 1
Be3 Be 0.618 0.882 0.000 1
Be4 Be 0.882 0.382 0.000 1
Ir1 Ir 0.000 0.500 0.500 1
Ir2 Ir 0.073 0.779 0.500 1
Ir3 Ir 0.221 0.073 0.500 1
Ir4 Ir 0.279 0.573 0.500 1
Ir5 Ir 0.427 0.279 0.500 1
Ir6 Ir 0.500 0.000 0.500 1
Ir7 Ir 0.573 0.721 0.500 1
Ir8 Ir 0.721 0.427 0.500 1
Ir9 Ir 0.779 0.927 0.500 1
Ir10 Ir 0.927 0.221 0.500 1
```

* space-group type: P4/mbm, No. 127
* formation enthalpy at 0 K: -0.716 eV/atom
* raw total energy: -8.741 eV per atom
* magnetic moment: 0.0 μB per formula unit